PBE ZnCrAs2Se, relaxed; total magnetization = 0.93 μB/f.u.; ρ = 5.42 g/cm³; space group = P4/mmm, No. 123; E = -4.362 eV/atom; E_form (uncorrected) = 374.5 meV/atom; E above lowest polymorph = 0.0 meV/atom
1.0
4.614 0.000 0.000
0.000 4.614 0.000
0.000 0.000 4.983
Cr As Zn Se
1 2 1 1
direct
0.000 0.000 0.000 Cr
0.000 0.500 0.000 As
0.500 0.000 0.000 As
0.500 0.500 0.500 Zn
0.000 0.000 0.500 Se